[1]
# Be2CoOs2, single point on PBEsol structure, DFT SCAN
# * theoretical density: 14673 kg/m³
# * density of states at the Fermi level: 7.5 states/eV per cell
# * electronic total energy: -34.107 eV/atom
data_Be2CoOs2
_symmetry_space_group_name_H-M 'P 4/m b m'
_symmetry_Int_Tables_number 127
_symmetry_space_group_name_Hall '-P 4 2ab'
_cell_length_a 5.425
_cell_length_b 5.425
_cell_length_c 3.518
_cell_angle_alpha 90.00
_cell_angle_beta 90.00
_cell_angle_gamma 90.00
loop_
_atom_site_label
_atom_site_fract_x
_atom_site_fract_y
_atom_site_fract_z
_atom_site_occupancy
Be1 0.130 0.370 0.000 1
Co1 0.000 0.000 0.000 1
Os1 0.177 0.677 0.500 1

---

[2]
# RuRh2Pb, single point on PBEsol structure, DFT SCAN
# * theoretical density: 13808 kg/m³
# * density of states at the Fermi level: 5.1 states/eV per cell
# * electronic total energy: -44.192 eV/atom
data_RuRh2Pb
_symmetry_space_group_name_H-M 'P 4/m m m'
_symmetry_Int_Tables_number 123
_symmetry_space_group_name_Hall '-P 4 2'
_cell_length_a 3.929
_cell_length_b 3.929
_cell_length_c 4.005
_cell_angle_alpha 90.00
_cell_angle_beta 90.00
_cell_angle_gamma 90.00
loop_
_atom_site_label
_atom_site_fract_x
_atom_site_fract_y
_atom_site_fract_z
_atom_site_occupancy
Ru1 0.000 0.000 0.000 1
Rh1 0.000 0.500 0.500 1
Pb1 0.500 0.500 0.000 1